Entry 1:
VASP calculation (GGA-PBE) on a geometry-optimized SrAlCr structure.

Results
* E_form: 596 meV per atom
* polymorph energy (0 for the lowest one): 0.83 eV per formula unit
* M_tot: 3.67 μB/f.u.

abc: 4.905 4.905 4.905
angles: 60.00 60.00 60.00
Fractional coordinates of all 3 atoms:
1 Sr 0.000 0.000 0.000
2 Al 0.500 0.500 0.500
3 Cr 0.750 0.750 0.750

Entry 2:
VASP calculation (GGA-PBE) on a geometry-optimized SrAl4Cr structure.

Results
* E_form: 97 meV per atom
* M_tot: 3.25 μB/f.u.

abc: 5.548 5.548 5.548
angles: 60.00 60.00 60.00
Fractional coordinates of all 6 atoms:
1 Sr 0.000 0.000 0.000
2 Al 0.126 0.625 0.625
3 Al 0.625 0.126 0.625
4 Al 0.625 0.625 0.126
5 Al 0.625 0.625 0.625
6 Cr 0.250 0.250 0.250

Entry 3:
VASP calculation (GGA-PBE) on a geometry-optimized SrAlCr structure.

Results
* E_form: 344 meV per atom
* polymorph energy (0 for the lowest one): 0.07 eV per formula unit
* M_tot: 3.89 μB/f.u.

abc: 4.763 4.763 4.151
angles: 90.00 90.00 120.00
Fractional coordinates of all 3 atoms:
1 Sr 0.000 0.000 0.000
2 Al 0.667 0.333 0.500
3 Cr 0.333 0.667 0.500

Entry 4:
VASP calculation (GGA-PBE) on a geometry-optimized Sr4AlCr structure.

Results
* E_form: 847 meV per atom
* M_tot: 4.37 μB/f.u.

abc: 7.034 7.034 7.034
angles: 60.00 60.00 60.00
Fractional coordinates of all 6 atoms:
1 Sr 0.125 0.125 0.125
2 Sr 0.125 0.125 0.626
3 Sr 0.125 0.626 0.125
4 Sr 0.626 0.125 0.125
5 Al 0.750 0.750 0.750
6 Cr 0.500 0.500 0.500

Entry 5:
VASP calculation (GGA-PBE) on a geometry-optimized SrAl11Cr structure.

Results
* E_form: -105 meV per atom
* M_tot: 0.00 μB/f.u.

abc: 6.985 6.985 7.143
angles: 97.77 97.77 135.48
Fractional coordinates of all 13 atoms:
1 Sr 0.000 0.000 0.000
2 Al 0.000 0.000 0.500
3 Al 0.000 0.500 0.000
4 Al 0.027 0.371 0.365
5 Al 0.285 0.504 0.771
6 Al 0.371 0.027 0.365
7 Al 0.496 0.715 0.229
8 Al 0.500 0.000 0.000
9 Al 0.504 0.285 0.771
10 Al 0.629 0.973 0.635
11 Al 0.715 0.496 0.229
12 Al 0.973 0.629 0.635
13 Cr 0.500 0.500 0.500

Entry 6:
VASP calculation (GGA-PBE) on a geometry-optimized SrAlCr3 structure.

Results
* E_form: 975 meV per atom
* polymorph energy (0 for the lowest one): 0.00 eV per formula unit
* M_tot: 12.81 μB/f.u.

abc: 5.016 5.016 5.016
angles: 90.00 90.00 90.00
Fractional coordinates of all 5 atoms:
1 Sr 0.000 0.000 0.000
2 Al 0.500 0.500 0.500
3 Cr 0.000 0.500 0.500
4 Cr 0.500 0.000 0.500
5 Cr 0.500 0.500 0.000

Entry 7:
VASP calculation (GGA-PBE) on a geometry-optimized Sr3AlCr structure.

Results
* E_form: 606 meV per atom
* polymorph energy (0 for the lowest one): 0.00 eV per formula unit
* M_tot: 4.91 μB/f.u.

abc: 6.218 6.218 6.218
angles: 90.00 90.00 90.00
Fractional coordinates of all 5 atoms:
1 Sr 0.000 0.000 0.500
2 Sr 0.000 0.500 0.000
3 Sr 0.500 0.000 0.000
4 Al 0.000 0.000 0.000
5 Cr 0.500 0.500 0.500

Entry 8:
VASP calculation (GGA-PBE) on a geometry-optimized SrAlCr3 structure.

Results
* E_form: 2326 meV per atom
* polymorph energy (0 for the lowest one): 6.75 eV per formula unit
* M_tot: 11.53 μB/f.u.

abc: 5.018 5.018 5.018
angles: 90.00 90.00 90.00
Fractional coordinates of all 5 atoms:
1 Sr 0.000 0.000 0.000
2 Al 0.500 0.500 0.500
3 Cr 0.000 0.000 0.500
4 Cr 0.000 0.500 0.000
5 Cr 0.500 0.000 0.000

Entry 9:
VASP calculation (GGA-PBE) on a geometry-optimized SrAlCr structure.

Results
* E_form: 321 meV per atom
* polymorph energy (0 for the lowest one): 0.00 eV per formula unit
* M_tot: 4.05 μB/f.u.

abc: 6.347 6.347 6.347
angles: 147.29 147.29 46.94
Fractional coordinates of all 3 atoms:
1 Sr 0.000 0.000 0.000
2 Al 0.296 0.296 0.000
3 Cr 0.711 0.711 0.000

Entry 10:
VASP calculation (GGA-PBE) on a geometry-optimized TaAl2Cr structure.

Results
* E_form: 156 meV per atom
* polymorph energy (0 for the lowest one): 1.12 eV per formula unit
* M_tot: 0.00 μB/f.u.

abc: 9.310 9.310 9.310
angles: 17.32 17.32 17.32
Fractional coordinates of all 4 atoms:
1 Ta 0.000 0.000 0.000
2 Al 0.505 0.505 0.505
3 Al 0.754 0.754 0.754
4 Cr 0.247 0.247 0.247

Entry 11:
VASP calculation (GGA-PBE) on a geometry-optimized Ta2AlCr structure.

Results
* E_form: 15 meV per atom
* M_tot: 0.00 μB/f.u.

abc: 2.790 2.790 8.647
angles: 90.00 90.00 107.78
Fractional coordinates of all 4 atoms:
1 Ta 0.000 0.000 0.000
2 Ta 0.500 0.500 0.278
3 Al 0.500 0.500 0.736
4 Cr 0.000 0.000 0.511

Entry 12:
VASP calculation (GGA-PBE) on a geometry-optimized Ta2Al2Cr structure.

Results
* E_form: 587 meV per atom
* polymorph energy (0 for the lowest one): 2.90 eV per formula unit
* M_tot: 0.00 μB/f.u.

abc: 6.839 6.839 6.839
angles: 148.10 148.10 45.74
Fractional coordinates of all 5 atoms:
1 Ta 0.250 0.750 0.500
2 Ta 0.750 0.250 0.500
3 Al 0.093 0.093 0.000
4 Al 0.907 0.907 0.000
5 Cr 0.500 0.500 0.000

Entry 13:
VASP calculation (GGA-PBE) on a geometry-optimized Ta2AlCr structure.

Results
* E_form: 223 meV per atom
* M_tot: 2.08 μB/f.u.

abc: 9.312 9.312 9.312
angles: 17.93 17.93 17.93
Fractional coordinates of all 4 atoms:
1 Ta 0.000 0.000 0.000
2 Ta 0.242 0.242 0.242
3 Al 0.753 0.753 0.753
4 Cr 0.496 0.496 0.496

Entry 14:
VASP calculation (GGA-PBE) on a geometry-optimized TaAl2Cr structure.

Results
* E_form: 9 meV per atom
* polymorph energy (0 for the lowest one): 0.53 eV per formula unit
* M_tot: 0.16 μB/f.u.

abc: 4.807 4.807 4.854
angles: 97.92 97.92 33.25
Fractional coordinates of all 4 atoms:
1 Ta 0.000 0.000 0.000
2 Al 0.500 0.500 0.503
3 Al 0.751 0.751 0.260
4 Cr 0.239 0.239 0.746